--- 1 ---
The following is a PBE calculation of CaScTc2 after structural relaxation, from Alexandria.

Unit cell a=4.6941 b=4.6941 c=4.6941 alpha=60.00 beta=60.00 gamma=60.00
With the nearest neighbours (Å) after each atom.
Sites, in units of the cell vectors:
1 Sc 0.7500 0.7500 0.7500  4 Ca 2.87, 4 Tc 2.87
2 Tc 0.0000 0.0000 0.0000  4 Tc 2.87, 4 Sc 2.87
3 Tc 0.2500 0.2500 0.2500  4 Ca 2.87, 4 Tc 2.87
4 Ca 0.5000 0.5000 0.5000  4 Sc 2.87, 4 Tc 2.87

**Symmetry**: F-43m, No. 216
**DOS at the Fermi energy**: 4.507 states/eV per cell
**V**: 73 Å³ per cell



--- 2 ---
The following is a PBE calculation of CaScTc2 after structural relaxation, from Alexandria.

Unit cell a=5.4086 b=5.4086 c=5.4086 alpha=136.49 beta=136.49 gamma=63.22
With the nearest neighbours (Å) after each atom.
Sites, in units of the cell vectors:
1 Tc 0.5000 0.5000 0.0000  4 Tc 2.83, 4 Sc 3.05, 4 Ca 3.05
2 Tc 0.0000 0.0000 0.0000  4 Tc 2.83, 4 Ca 3.05, 4 Sc 3.05
3 Ca 0.2500 0.7500 0.5000  4 Sc 2.83, 8 Tc 3.05
4 Sc 0.7500 0.2500 0.5000  4 Ca 2.83, 8 Tc 3.05

**Symmetry**: I4/mmm, No. 139
**DOS at the Fermi energy**: 6.015 states/eV per cell
**V**: 74 Å³ per cell



--- 3 ---
The following is a PBE calculation of CaScTc2 after structural relaxation, from Alexandria.

Unit cell a=3.1342 b=3.1342 c=8.5869 alpha=90.00 beta=90.00 gamma=90.00
With the nearest neighbours (Å) after each atom.
Sites, in units of the cell vectors:
1 Ca 0.0000 0.0000 0.4490  4 Tc 3.13, 4 Ca 3.13
2 Tc 0.5000 0.5000 0.1911  4 Tc 2.59
3 Tc 0.0000 0.0000 0.0359  4 Tc 2.59, 4 Sc 2.87
4 Sc 0.5000 0.5000 0.8241  5 Tc 2.87-3.15, 4 Sc 3.13

**Symmetry**: P4mm, No. 99
**DOS at the Fermi energy**: 3.835 states/eV per cell
**V**: 84 Å³ per cell



What should be chosen as the most stable of them? Choose 3.



--- 1 ---
The following is a PBE calculation of CaScTc2 after structural relaxation, from Alexandria.

Unit cell a=4.1679 b=3.2354 c=6.5509 alpha=76.41 beta=90.00 gamma=90.00
With the nearest neighbours (Å) after each atom.
Sites, in units of the cell vectors:
1 Tc 0.0000 0.0594 0.0290  2 Tc 2.40
2 Tc 0.5000 0.1931 0.1827  2 Tc 2.40, 1 Sc 2.60
3 Sc 0.5000 0.7589 0.8267  3 Tc 2.60-2.77
4 Ca 0.0000 0.4886 0.4616  5 Tc 3.00-3.30, 2 Ca 3.24

**Symmetry**: Pm, No. 6
**DOS at the Fermi energy**: 3.023 states/eV per cell
**V**: 86 Å³ per cell



--- 2 ---
The following is a PBE calculation of CaScTc2 after structural relaxation, from Alexandria.

Unit cell a=3.3759 b=4.6989 c=4.5963 alpha=90.00 beta=90.00 gamma=90.00
With the nearest neighbours (Å) after each atom.
Sites, in units of the cell vectors:
1 Sc 0.0000 0.5000 0.5000  4 Tc 2.85, 4 Ca 2.89
2 Ca 0.5000 0.0000 0.5000  4 Tc 2.85, 4 Sc 2.89
3 Tc 0.5000 0.5000 0.0000  4 Sc 2.85, 4 Tc 2.89
4 Tc 0.0000 0.0000 0.0000  4 Ca 2.85, 4 Tc 2.89

**Symmetry**: Pmmm, No. 47
**DOS at the Fermi energy**: 5.321 states/eV per cell
**V**: 73 Å³ per cell



--- 3 ---
The following is a PBE calculation of CaScTc2 after structural relaxation, from Alexandria.

Unit cell a=2.8270 b=2.8270 c=9.2899 alpha=90.00 beta=90.00 gamma=90.00
With the nearest neighbours (Å) after each atom.
Sites, in units of the cell vectors:
1 Sc 0.5000 0.5000 0.7500  4 Sc 2.83, 8 Tc 2.95
2 Ca 0.5000 0.5000 0.2500  4 Ca 2.83
3 Tc 0.0000 0.0000 0.9833  4 Tc 2.83, 4 Sc 2.95
4 Tc 0.0000 0.0000 0.5167  4 Tc 2.83, 4 Sc 2.95

**Symmetry**: P4/mmm, No. 123
**DOS at the Fermi energy**: 4.610 states/eV per cell
**V**: 74 Å³ per cell



What should be chosen as the most stable of them? Choose 1.



--- 1 ---
The following is a PBE calculation of CaScTc2 after structural relaxation, from Alexandria.

Unit cell a=5.4421 b=5.4421 c=5.4421 alpha=144.64 beta=127.62 gamma=64.79
With the nearest neighbours (Å) after each atom.
Sites, in units of the cell vectors:
1 Tc 0.0087 0.0087 0.0000  2 Sc 2.77, 2 Ca 2.90, 4 Tc 2.92
2 Tc 0.4913 0.4913 0.0000  2 Sc 2.77, 2 Ca 2.90, 4 Tc 2.92
3 Ca 0.7500 0.2500 0.5000  4 Tc 2.90, 4 Sc 2.92
4 Sc 0.2500 0.7500 0.5000  4 Tc 2.77, 4 Ca 2.92

**Symmetry**: Immm, No. 71
**DOS at the Fermi energy**: 4.709 states/eV per cell
**V**: 73 Å³ per cell



--- 2 ---
The following is a PBE calculation of CaScTc2 after structural relaxation, from Alexandria.

Unit cell a=7.5769 b=7.5769 c=6.0213 alpha=51.01 beta=51.01 gamma=90.00
With the nearest neighbours (Å) after each atom.
Sites, in units of the cell vectors:
1 Sc 0.7500 0.2500 0.5000  4 Tc 2.66, 2 Ca 2.75
2 Sc 0.0000 0.0000 0.0000  4 Tc 2.66, 2 Ca 2.75
3 Ca 0.2500 0.7500 0.5000  2 Sc 2.75, 4 Tc 2.87
4 Ca 0.5000 0.5000 0.0000  2 Sc 2.75, 4 Tc 2.87
5 Tc 0.8750 0.8949 0.7500  2 Sc 2.66, 2 Tc 2.76, 2 Ca 2.87
6 Tc 0.3750 0.3551 0.7500  2 Sc 2.66, 2 Tc 2.76, 2 Ca 2.87
7 Tc 0.1051 0.6250 0.2500  2 Sc 2.66, 2 Tc 2.76, 2 Ca 2.87
8 Tc 0.6449 0.1250 0.2500  2 Sc 2.66, 2 Tc 2.76, 2 Ca 2.87

**Symmetry**: I-42d, No. 122
**DOS at the Fermi energy**: 10.454 states/eV per cell
**V**: 158 Å³ per cell



--- 3 ---
The following is a PBE calculation of CaScTc2 after structural relaxation, from Alexandria.

Unit cell a=4.7245 b=4.7245 c=4.7245 alpha=60.00 beta=60.00 gamma=60.00
With the nearest neighbours (Å) after each atom.
Sites, in units of the cell vectors:
1 Tc 0.7500 0.7500 0.7500  4 Sc 2.89, 4 Ca 2.89
2 Tc 0.2500 0.2500 0.2500  4 Ca 2.89, 4 Sc 2.89
3 Sc 0.5000 0.5000 0.5000  8 Tc 2.89
4 Ca 0.0000 0.0000 0.0000  8 Tc 2.89

**Symmetry**: Fm-3m, No. 225
**DOS at the Fermi energy**: 6.939 states/eV per cell
**V**: 75 Å³ per cell



What should be chosen as the most stable of them? Choose 1.



--- 1 ---
The following is a PBE calculation of CaScTc2 after structural relaxation, from Alexandria.

Unit cell a=5.4903 b=5.4903 c=2.6862 alpha=90.00 beta=90.00 gamma=114.02
With the nearest neighbours (Å) after each atom.
Sites, in units of the cell vectors:
1 Tc 0.0000 0.0000 0.0000  4 Tc 2.69-2.99
2 Tc 0.5000 0.5000 0.0000  4 Tc 2.69-2.99
3 Sc 0.0000 0.5000 0.5000  2 Sc 2.69, 2 Ca 2.99
4 Ca 0.5000 0.0000 0.5000  2 Ca 2.69, 2 Sc 2.99

**Symmetry**: Cmmm, No. 65
**DOS at the Fermi energy**: 5.883 states/eV per cell
**V**: 74 Å³ per cell



--- 2 ---
The following is a PBE calculation of CaScTc2 after structural relaxation, from Alexandria.

Unit cell a=2.9004 b=2.9004 c=9.2147 alpha=90.00 beta=90.00 gamma=109.27
With the nearest neighbours (Å) after each atom.
Sites, in units of the cell vectors:
1 Tc 0.0000 0.0000 0.9826  2 Sc 2.72, 4 Tc 2.90, 2 Ca 2.98
2 Tc 0.0000 0.0000 0.5174  2 Sc 2.72, 4 Tc 2.90, 2 Ca 2.98
3 Sc 0.5000 0.5000 0.7500  4 Tc 2.72, 4 Sc 2.90
4 Ca 0.5000 0.5000 0.2500  4 Ca 2.90, 4 Tc 2.98

**Symmetry**: Cmmm, No. 65
**DOS at the Fermi energy**: 4.736 states/eV per cell
**V**: 73 Å³ per cell



--- 3 ---
The following is a PBE calculation of CaScTc2 after structural relaxation, from Alexandria.

Unit cell a=5.2098 b=5.2098 c=5.3929 alpha=70.03 beta=70.03 gamma=43.21
With the nearest neighbours (Å) after each atom.
Sites, in units of the cell vectors:
1 Sc 0.2500 0.2500 0.2500  6 Tc 2.76-2.96
2 Tc 0.5000 0.5000 0.3801  2 Tc 2.38
3 Tc 0.0000 0.0000 0.1199  2 Tc 2.38
4 Ca 0.7500 0.7500 0.7500  6 Tc 3.16-3.37, 4 Sc 3.31

**Symmetry**: C2/m, No. 12
**DOS at the Fermi energy**: 3.032 states/eV per cell
**V**: 93 Å³ per cell



--- 4 ---
The following is a PBE calculation of CaScTc2 after structural relaxation, from Alexandria.

Unit cell a=5.4560 b=5.4560 c=2.8534 alpha=80.25 beta=80.25 gamma=115.27
With the nearest neighbours (Å) after each atom.
Sites, in units of the cell vectors:
1 Ca 0.5000 0.0000 0.5000  2 Ca 2.85, 4 Tc 2.86, 2 Sc 2.92
2 Sc 0.0000 0.5000 0.5000  2 Sc 2.85, 4 Tc 2.86, 2 Ca 2.92
3 Tc 0.0000 0.0000 0.0000  4 Tc 2.85-2.92, 2 Sc 2.86, 2 Ca 2.86
4 Tc 0.5000 0.5000 0.0000  4 Tc 2.85-2.92, 2 Ca 2.86, 2 Sc 2.86

**Symmetry**: C2/m, No. 12
**DOS at the Fermi energy**: 5.045 states/eV per cell
**V**: 73 Å³ per cell



What should be chosen as the most stable of them? Choose 3.



--- 1 ---
The following is a PBE calculation of CaScTc2 after structural relaxation, from Alexandria.

Unit cell a=9.2488 b=9.2488 c=9.2488 alpha=19.22 beta=19.22 gamma=19.22
With the nearest neighbours (Å) after each atom.
Sites, in units of the cell vectors:
1 Ca 0.2500 0.2500 0.2500  6 Tc 3.02, 6 Ca 3.09
2 Sc 0.7500 0.7500 0.7500  6 Tc 2.76
3 Tc 0.4938 0.4938 0.4938  3 Sc 2.76, 3 Ca 3.02
4 Tc 0.0062 0.0062 0.0062  3 Sc 2.76, 3 Ca 3.02

**Symmetry**: R-3m, No. 166
**DOS at the Fermi energy**: 5.255 states/eV per cell
**V**: 75 Å³ per cell



--- 2 ---
The following is a PBE calculation of CaScTc2 after structural relaxation, from Alexandria.

Unit cell a=5.7391 b=5.7391 c=4.8978 alpha=64.75 beta=64.75 gamma=33.45
With the nearest neighbours (Å) after each atom.
Sites, in units of the cell vectors:
1 Sc 0.2656 0.2656 0.2344  8 Tc 2.99-3.34, 4 Ca 3.22-3.26, 2 Sc 3.30
2 Ca 0.4844 0.4844 0.5156  8 Tc 2.99-3.34, 4 Sc 3.22-3.26, 2 Ca 3.30
3 Tc 0.7158 0.7158 0.7842  2 Tc 2.43
4 Tc 0.0342 0.0342 0.9658  2 Tc 2.43

**Symmetry**: Imm2, No. 44
**DOS at the Fermi energy**: 2.607 states/eV per cell
**V**: 80 Å³ per cell



What should be chosen as the most stable of them? Choose 2.